## A
Here is a relaxed CrPdPt3 crystal from Alexandria. Energies are from PBE-GGA. Values from VASP.

Cell and atoms, written as Quantum ESPRESSO input:
```
&SYSTEM
  ibrav = 0, nat = 5, ntyp = 3
/
ATOMIC_SPECIES
Pt 195.08 Pt.upf
Cr 52.00 Cr.upf
Pd 106.42 Pd.upf
ATOMIC_POSITIONS crystal
Pt 0.500 0.000 0.000
Pt 0.000 0.500 0.000
Cr 0.000 0.000 0.000
Pt 0.000 0.000 0.500
Pd 0.500 0.500 0.500
CELL_PARAMETERS angstrom
-1.399 3.715 2.214
0.231 -2.259 3.937
4.319 1.324 0.506
```

Output
Total moment   0.0 μB/cell
Symmetry   Pm-3m (221)


## B
Here is a relaxed CrPdPt3 crystal from Alexandria. Energies are from PBE-GGA. Values from VASP.

Cell and atoms, written as Quantum ESPRESSO input:
```
&SYSTEM
  ibrav = 0, nat = 10, ntyp = 3
/
ATOMIC_SPECIES
Pd 106.42 Pd.upf
Pt 195.08 Pt.upf
Cr 52.00 Cr.upf
ATOMIC_POSITIONS crystal
Pd 0.686 0.009 0.463
Pt 0.392 0.517 0.359
Pt 0.270 0.993 0.668
Cr 0.902 0.019 0.860
Pt 0.528 0.061 0.041
Pt 0.227 0.553 0.946
Pt 0.968 0.485 0.572
Pd 0.810 0.537 0.151
Cr 0.595 0.526 0.754
Pt 0.104 0.029 0.255
CELL_PARAMETERS angstrom
4.805 0.378 -0.225
-1.754 3.104 1.572
1.966 2.959 10.832
```

Output
Total moment   4.4 μB/cell
Symmetry   P-1 (2)


Q: Which of them is the least stable? A: A.


## A
Here is a relaxed Cr2Pd4Pt crystal from Alexandria. Energies are from PBE-GGA. Values from VASP.

Cell and atoms, written as Quantum ESPRESSO input:
```
&SYSTEM
  ibrav = 0, nat = 14, ntyp = 3
/
ATOMIC_SPECIES
Pt 195.08 Pt.upf
Pd 106.42 Pd.upf
Cr 52.00 Cr.upf
ATOMIC_POSITIONS crystal
Pt 0.750 0.500 0.250
Pd 0.151 0.428 0.413
Pd 0.163 0.928 0.401
Pt 0.000 0.000 0.000
Cr 0.532 0.407 0.625
Cr 0.218 0.593 0.125
Cr 0.375 0.907 0.782
Pd 0.764 0.238 0.837
Pd 0.473 0.072 0.236
Cr 0.875 0.093 0.468
Pd 0.599 0.762 0.527
Pd 0.986 0.572 0.723
Pd 0.277 0.262 0.849
Pd 0.587 0.738 0.014
CELL_PARAMETERS angstrom
-0.148 -2.423 6.076
5.683 -1.510 -2.870
-0.674 6.499 0.341
```

Output
Total moment   0.0 μB/cell
Symmetry   I-42d (122)


## B
Here is a relaxed Cr2Pd4Pt crystal from Alexandria. Energies are from PBE-GGA. Values from VASP.

Cell and atoms, written as Quantum ESPRESSO input:
```
&SYSTEM
  ibrav = 0, nat = 14, ntyp = 3
/
ATOMIC_SPECIES
Pd 106.42 Pd.upf
Cr 52.00 Cr.upf
Pt 195.08 Pt.upf
ATOMIC_POSITIONS crystal
Pd 0.694 0.083 0.500
Cr 0.469 0.328 0.501
Pd 0.806 0.583 0.500
Pt 0.500 0.500 0.000
Pt 0.000 0.000 0.000
Cr 0.031 0.828 0.501
Pd 0.306 0.917 0.500
Pd 0.850 0.463 0.999
Pd 0.650 0.963 0.999
Pd 0.150 0.537 0.001
Pd 0.194 0.417 0.500
Cr 0.969 0.172 0.499
Pd 0.350 0.037 0.001
Cr 0.531 0.672 0.499
CELL_PARAMETERS angstrom
9.437 0.000 0.000
0.000 3.999 -3.289
0.000 -1.273 6.608
```

Output
Total moment   0.0 μB/cell
Symmetry   P2_1/c (14)


Q: Which of them is the least stable? A: A.


## A
Here is a relaxed RbCr3Pd crystal from Alexandria. Energies are from PBE-GGA. Values from VASP.

Cell and atoms, written as Quantum ESPRESSO input:
```
&SYSTEM
  ibrav = 0, nat = 5, ntyp = 3
/
ATOMIC_SPECIES
Cr 52.00 Cr.upf
Rb 85.47 Rb.upf
Pd 106.42 Pd.upf
ATOMIC_POSITIONS crystal
Cr 0.000 0.500 0.000
Rb 0.500 0.500 0.500
Pd 0.000 0.000 0.000
Cr 0.000 0.000 0.500
Cr 0.500 0.000 0.000
CELL_PARAMETERS angstrom
5.156 0.000 0.000
0.000 5.156 0.000
0.000 0.000 5.156
```

Output
Total moment   13.7 μB/cell
Symmetry   Pm-3m (221)


## B
Here is a relaxed RbCr3Pd crystal from Alexandria. Energies are from PBE-GGA. Values from VASP.

Cell and atoms, written as Quantum ESPRESSO input:
```
&SYSTEM
  ibrav = 0, nat = 5, ntyp = 3
/
ATOMIC_SPECIES
Cr 52.00 Cr.upf
Rb 85.47 Rb.upf
Pd 106.42 Pd.upf
ATOMIC_POSITIONS crystal
Cr 0.000 0.000 0.500
Rb 0.000 0.000 0.000
Cr 0.000 0.500 0.000
Cr 0.500 0.000 0.000
Pd 0.500 0.500 0.500
CELL_PARAMETERS angstrom
4.363 0.000 0.000
0.000 4.363 0.000
0.000 0.000 4.363
```

Output
Total moment   0.0 μB/cell
Symmetry   Pm-3m (221)


Q: Which of them is the least stable? A: B.


## A
Here is a relaxed RbCrPd2 crystal from Alexandria. Energies are from PBE-GGA. Values from VASP.

Cell and atoms, written as Quantum ESPRESSO input:
```
&SYSTEM
  ibrav = 0, nat = 8, ntyp = 3
/
ATOMIC_SPECIES
Cr 52.00 Cr.upf
Pd 106.42 Pd.upf
Rb 85.47 Rb.upf
ATOMIC_POSITIONS crystal
Cr 0.250 0.750 0.500
Pd 0.875 0.626 0.750
Pd 0.376 0.125 0.250
Rb 0.750 0.250 0.500
Pd 0.375 0.624 0.750
Cr 0.500 0.500 0.000
Pd 0.374 0.625 0.250
Rb 0.000 0.000 0.000
CELL_PARAMETERS angstrom
-5.142 -0.352 -1.892
1.868 -2.216 -4.663
-2.287 -8.297 -0.206
```

Output
Total moment   0.0 μB/cell
Symmetry   I4_1/amd (141)


## B
Here is a relaxed RbCrPd2 crystal from Alexandria. Energies are from PBE-GGA. Values from VASP.

Cell and atoms, written as Quantum ESPRESSO input:
```
&SYSTEM
  ibrav = 0, nat = 4, ntyp = 3
/
ATOMIC_SPECIES
Pd 106.42 Pd.upf
Cr 52.00 Cr.upf
Rb 85.47 Rb.upf
ATOMIC_POSITIONS crystal
Pd 0.250 0.250 0.250
Cr 0.000 0.000 0.000
Pd 0.750 0.750 0.750
Rb 0.500 0.500 0.500
CELL_PARAMETERS angstrom
0.000 3.416 3.416
3.416 0.000 3.416
3.416 3.416 0.000
```

Output
Total moment   1.0 μB/cell
Symmetry   Fm-3m (225)


Q: Which of them is the least stable? A: B.


## A
Here is a relaxed Cr2PdRh2 crystal from Alexandria. Energies are from PBE-GGA. Values from VASP.

Cell and atoms, written as Quantum ESPRESSO input:
```
&SYSTEM
  ibrav = 0, nat = 10, ntyp = 3
/
ATOMIC_SPECIES
Cr 52.00 Cr.upf
Rh 102.91 Rh.upf
Pd 106.42 Pd.upf
ATOMIC_POSITIONS crystal
Cr 0.615 0.115 0.000
Cr 0.385 0.885 0.000
Cr 0.115 0.385 0.000
Rh 0.826 0.326 0.500
Pd 0.500 0.500 0.000
Cr 0.885 0.615 0.000
Rh 0.174 0.674 0.500
Pd 0.000 0.000 0.000
Rh 0.674 0.826 0.500
Rh 0.326 0.174 0.500
CELL_PARAMETERS angstrom
7.161 0.000 0.000
0.000 7.161 0.000
0.000 0.000 2.701
```

Output
Total moment   0.0 μB/cell
Symmetry   P4/mbm (127)


## B
Here is a relaxed Cr2PdRh2 crystal from Alexandria. Energies are from PBE-GGA. Values from VASP.

Cell and atoms, written as Quantum ESPRESSO input:
```
&SYSTEM
  ibrav = 0, nat = 10, ntyp = 3
/
ATOMIC_SPECIES
Pd 106.42 Pd.upf
Rh 102.91 Rh.upf
Cr 52.00 Cr.upf
ATOMIC_POSITIONS crystal
Pd 0.371 0.121 0.242
Rh 0.000 0.250 0.499
Cr 0.190 0.668 0.879
Cr 0.810 0.789 0.121
Rh 0.628 0.378 0.756
Cr 0.190 0.211 0.879
Cr 0.810 0.332 0.121
Rh 0.372 0.622 0.244
Rh 0.000 0.750 0.501
Pd 0.629 0.879 0.758
CELL_PARAMETERS angstrom
-2.089 -3.750 0.018
4.204 -2.331 2.377
-3.379 4.360 4.203
```

Output
Total moment   0.0 μB/cell
Symmetry   Imma (74)


## C
Here is a relaxed Cr2PdRh2 crystal from Alexandria. Energies are from PBE-GGA. Values from VASP.

Cell and atoms, written as Quantum ESPRESSO input:
```
&SYSTEM
  ibrav = 0, nat = 10, ntyp = 3
/
ATOMIC_SPECIES
Rh 102.91 Rh.upf
Pd 106.42 Pd.upf
Cr 52.00 Cr.upf
ATOMIC_POSITIONS crystal
Rh 0.131 0.369 0.000
Rh 0.369 0.869 0.000
Pd 0.000 0.000 0.000
Pd 0.500 0.500 0.000
Cr 0.835 0.335 0.500
Cr 0.665 0.835 0.500
Cr 0.335 0.165 0.500
Cr 0.165 0.665 0.500
Rh 0.869 0.631 0.000
Rh 0.631 0.131 0.000
CELL_PARAMETERS angstrom
-5.831 -0.651 4.204
-2.524 -5.213 -4.308
1.268 -1.832 1.475
```

Output
Total moment   0.0 μB/cell
Symmetry   P4/mbm (127)


Q: Which of them is the least stable? A: B.


## A
Here is a relaxed CrPdRu crystal from Alexandria. Energies are from PBE-GGA. Values from VASP.

Cell and atoms, written as Quantum ESPRESSO input:
```
&SYSTEM
  ibrav = 0, nat = 12, ntyp = 3
/
ATOMIC_SPECIES
Cr 52.00 Cr.upf
Ru 101.07 Ru.upf
Pd 106.42 Pd.upf
ATOMIC_POSITIONS crystal
Cr 0.056 0.479 0.665
Cr 0.056 0.979 0.165
Ru 0.609 0.480 0.659
Ru 0.391 0.020 0.841
Pd 0.248 0.993 0.498
Pd 0.752 0.507 0.002
Ru 0.609 0.980 0.159
Pd 0.248 0.493 0.998
Pd 0.752 0.007 0.502
Ru 0.391 0.520 0.341
Cr 0.944 0.021 0.835
Cr 0.944 0.521 0.335
CELL_PARAMETERS angstrom
5.499 -0.195 -0.132
1.562 5.354 1.754
1.583 2.441 6.374
```

Output
Total moment   0.0 μB/cell
Symmetry   P-1 (2)


## B
Here is a relaxed CrPdRu crystal from Alexandria. Energies are from PBE-GGA. Values from VASP.

Cell and atoms, written as Quantum ESPRESSO input:
```
&SYSTEM
  ibrav = 0, nat = 3, ntyp = 3
/
ATOMIC_SPECIES
Pd 106.42 Pd.upf
Ru 101.07 Ru.upf
Cr 52.00 Cr.upf
ATOMIC_POSITIONS crystal
Pd 0.000 0.000 0.012
Ru 0.333 0.667 0.645
Cr 0.667 0.333 0.343
CELL_PARAMETERS angstrom
-0.999 -2.051 -1.444
0.593 -0.350 2.610
-6.068 1.816 1.621
```

Output
Total moment   0.0 μB/cell
Symmetry   P3m1 (156)


## C
Here is a relaxed CrPdRu crystal from Alexandria. Energies are from PBE-GGA. Values from VASP.

Cell and atoms, written as Quantum ESPRESSO input:
```
&SYSTEM
  ibrav = 0, nat = 3, ntyp = 3
/
ATOMIC_SPECIES
Pd 106.42 Pd.upf
Cr 52.00 Cr.upf
Ru 101.07 Ru.upf
ATOMIC_POSITIONS crystal
Pd 0.167 0.000 0.000
Cr 0.667 0.667 0.333
Ru 0.166 0.333 0.667
CELL_PARAMETERS angstrom
-0.081 -2.631 0.202
2.698 -0.345 -3.404
1.611 0.261 4.040
```

Output
Total moment   1.5 μB/cell
Symmetry   P-6m2 (187)


Q: Which of them is the least stable? A: C.


## A
Here is a relaxed CrPd2Ru crystal from Alexandria. Energies are from PBE-GGA. Values from VASP.

Cell and atoms, written as Quantum ESPRESSO input:
```
&SYSTEM
  ibrav = 0, nat = 8, ntyp = 3
/
ATOMIC_SPECIES
Cr 52.00 Cr.upf
Pd 106.42 Pd.upf
Ru 101.07 Ru.upf
ATOMIC_POSITIONS crystal
Cr 0.500 0.500 0.000
Pd 0.141 0.625 0.250
Cr 0.250 0.750 0.500
Pd 0.609 0.125 0.250
Pd 0.875 0.859 0.750
Ru 0.750 0.250 0.500
Pd 0.375 0.391 0.750
Ru 0.000 0.000 0.000
CELL_PARAMETERS angstrom
-2.436 0.110 -4.933
-1.814 -5.135 0.782
-6.669 -0.559 0.212
```

Output
Total moment   0.0 μB/cell
Symmetry   I-42d (122)


## B
Here is a relaxed CrPd2Ru crystal from Alexandria. Energies are from PBE-GGA. Values from VASP.

Cell and atoms, written as Quantum ESPRESSO input:
```
&SYSTEM
  ibrav = 0, nat = 4, ntyp = 3
/
ATOMIC_SPECIES
Cr 52.00 Cr.upf
Ru 101.07 Ru.upf
Pd 106.42 Pd.upf
ATOMIC_POSITIONS crystal
Cr 0.000 0.000 0.000
Ru 0.500 0.500 0.500
Pd 0.250 0.250 0.250
Pd 0.750 0.750 0.750
CELL_PARAMETERS angstrom
3.765 -0.137 -2.147
2.543 -3.499 0.303
0.460 -2.648 -3.403
```

Output
Total moment   0.0 μB/cell
Symmetry   Fm-3m (225)


Q: Which of them is the least stable? A: A.


## A
Here is a relaxed Cr3PdS crystal from Alexandria. Energies are from PBE-GGA. Values from VASP.

Cell and atoms, written as Quantum ESPRESSO input:
```
&SYSTEM
  ibrav = 0, nat = 5, ntyp = 3
/
ATOMIC_SPECIES
S 32.06 S.upf
Cr 52.00 Cr.upf
Pd 106.42 Pd.upf
ATOMIC_POSITIONS crystal
S 0.000 0.000 0.000
Cr 0.000 0.000 0.500
Cr 0.500 0.000 0.000
Cr 0.000 0.500 0.000
Pd 0.500 0.500 0.500
CELL_PARAMETERS angstrom
4.138 0.000 0.000
0.000 4.138 0.000
0.000 0.000 4.138
```

Output
Total moment   0.0 μB/cell
Symmetry   Pm-3m (221)


## B
Here is a relaxed Cr3PdS crystal from Alexandria. Energies are from PBE-GGA. Values from VASP.

Cell and atoms, written as Quantum ESPRESSO input:
```
&SYSTEM
  ibrav = 0, nat = 5, ntyp = 3
/
ATOMIC_SPECIES
Cr 52.00 Cr.upf
Pd 106.42 Pd.upf
S 32.06 S.upf
ATOMIC_POSITIONS crystal
Cr 0.000 0.000 0.500
Pd 0.000 0.000 0.000
Cr 0.000 0.500 0.000
Cr 0.500 0.000 0.000
S 0.500 0.500 0.500
CELL_PARAMETERS angstrom
4.859 0.000 0.000
0.000 4.859 0.000
0.000 0.000 4.859
```

Output
Total moment   13.4 μB/cell
Symmetry   Pm-3m (221)


Q: Which of them is the least stable? A: B.


## A
Here is a relaxed CrPdS3 crystal from Alexandria. Energies are from PBE-GGA. Values from VASP.

Cell and atoms, written as Quantum ESPRESSO input:
```
&SYSTEM
  ibrav = 0, nat = 5, ntyp = 3
/
ATOMIC_SPECIES
S 32.06 S.upf
Pd 106.42 Pd.upf
Cr 52.00 Cr.upf
ATOMIC_POSITIONS crystal
S 0.181 0.181 0.694
S 0.181 0.694 0.181
S 0.694 0.181 0.181
Pd 0.848 0.848 0.848
Cr 0.222 0.222 0.222
CELL_PARAMETERS angstrom
-2.703 -1.491 -3.549
0.273 -4.541 1.196
-3.977 0.029 2.512
```

Output
Total moment   1.9 μB/cell
Symmetry   R3m (160)


## B
Here is a relaxed CrPdS3 crystal from Alexandria. Energies are from PBE-GGA. Values from VASP.

Cell and atoms, written as Quantum ESPRESSO input:
```
&SYSTEM
  ibrav = 0, nat = 5, ntyp = 3
/
ATOMIC_SPECIES
S 32.06 S.upf
Pd 106.42 Pd.upf
Cr 52.00 Cr.upf
ATOMIC_POSITIONS crystal
S 0.500 0.000 0.000
Pd 0.500 0.500 0.500
S 0.000 0.500 0.000
S 0.000 0.000 0.500
Cr 0.000 0.000 0.000
CELL_PARAMETERS angstrom
-0.500 3.975 1.925
1.322 -1.714 3.882
4.214 1.009 -0.990
```

Output
Total moment   0.0 μB/cell
Symmetry   Pm-3m (221)


Q: Which of them is the least stable? A: B.


## A
Here is a relaxed CrSiPd3 crystal from Alexandria. Energies are from PBE-GGA. Values from VASP.

Cell and atoms, written as Quantum ESPRESSO input:
```
&SYSTEM
  ibrav = 0, nat = 5, ntyp = 3
/
ATOMIC_SPECIES
Pd 106.42 Pd.upf
Cr 52.00 Cr.upf
Si 28.09 Si.upf
ATOMIC_POSITIONS crystal
Pd 0.500 0.000 0.000
Cr 0.000 0.000 0.000
Pd 0.000 0.000 0.500
Si 0.500 0.500 0.500
Pd 0.000 0.500 0.000
CELL_PARAMETERS angstrom
-1.872 -3.673 1.960
3.323 -2.613 -1.723
2.508 0.721 3.745
```

Output
Total moment   0.0 μB/cell
Symmetry   Pm-3m (221)


## B
Here is a relaxed CrSiPd3 crystal from Alexandria. Energies are from PBE-GGA. Values from VASP.

Cell and atoms, written as Quantum ESPRESSO input:
```
&SYSTEM
  ibrav = 0, nat = 5, ntyp = 3
/
ATOMIC_SPECIES
Cr 52.00 Cr.upf
Pd 106.42 Pd.upf
Si 28.09 Si.upf
ATOMIC_POSITIONS crystal
Cr 0.500 0.500 0.500
Pd 0.500 0.000 0.000
Pd 0.000 0.500 0.000
Pd 0.000 0.000 0.500
Si 0.000 0.000 0.000
CELL_PARAMETERS angstrom
4.467 0.000 0.000
0.000 4.467 0.000
0.000 0.000 4.467
```

Output
Total moment   0.5 μB/cell
Symmetry   Pm-3m (221)


Q: Which of them is the least stable? A: A.


## A
Here is a relaxed Cr2SnTePd crystal from Alexandria. Energies are from PBE-GGA. Values from VASP.

Cell and atoms, written as Quantum ESPRESSO input:
```
&SYSTEM
  ibrav = 0, nat = 5, ntyp = 4
/
ATOMIC_SPECIES
Pd 106.42 Pd.upf
Cr 52.00 Cr.upf
Sn 118.71 Sn.upf
Te 127.60 Te.upf
ATOMIC_POSITIONS crystal
Pd 0.500 0.500 0.500
Cr 0.000 0.000 0.500
Sn 0.000 0.000 0.000
Te 0.000 0.500 0.000
Cr 0.500 0.000 0.000
CELL_PARAMETERS angstrom
5.077 0.000 0.000
0.000 5.691 0.000
0.000 0.000 5.077
```

Output
Total moment   8.4 μB/cell
Symmetry   P4/mmm (123)


## B
Here is a relaxed Cr2SnTePd crystal from Alexandria. Energies are from PBE-GGA. Values from VASP.

Cell and atoms, written as Quantum ESPRESSO input:
```
&SYSTEM
  ibrav = 0, nat = 5, ntyp = 4
/
ATOMIC_SPECIES
Sn 118.71 Sn.upf
Pd 106.42 Pd.upf
Cr 52.00 Cr.upf
Te 127.60 Te.upf
ATOMIC_POSITIONS crystal
Sn 0.500 0.500 0.500
Pd 0.000 0.000 0.000
Cr 0.000 0.000 0.500
Cr 0.500 0.000 0.000
Te 0.000 0.500 0.000
CELL_PARAMETERS angstrom
5.040 0.000 0.000
0.000 5.052 0.000
0.000 0.000 5.040
```

Output
Total moment   9.2 μB/cell
Symmetry   P4/mmm (123)


Q: Which of them is the least stable? A: A.


## A
Here is a relaxed SrCrPd2 crystal from Alexandria. Energies are from PBE-GGA. Values from VASP.

Cell and atoms, written as Quantum ESPRESSO input:
```
&SYSTEM
  ibrav = 0, nat = 4, ntyp = 3
/
ATOMIC_SPECIES
Sr 87.62 Sr.upf
Cr 52.00 Cr.upf
Pd 106.42 Pd.upf
ATOMIC_POSITIONS crystal
Sr 0.750 0.750 0.750
Cr 0.000 0.000 0.000
Pd 0.250 0.250 0.250
Pd 0.500 0.500 0.500
CELL_PARAMETERS angstrom
4.841 0.000 0.000
2.420 4.192 0.000
2.420 1.397 3.952
```

Output
Total moment   4.5 μB/cell
Symmetry   F-43m (216)


## B
Here is a relaxed SrCrPd2 crystal from Alexandria. Energies are from PBE-GGA. Values from VASP.

Cell and atoms, written as Quantum ESPRESSO input:
```
&SYSTEM
  ibrav = 0, nat = 4, ntyp = 3
/
ATOMIC_SPECIES
Sr 87.62 Sr.upf
Pd 106.42 Pd.upf
Cr 52.00 Cr.upf
ATOMIC_POSITIONS crystal
Sr 0.500 0.500 0.500
Pd 0.750 0.750 0.750
Pd 0.250 0.250 0.250
Cr 0.000 0.000 0.000
CELL_PARAMETERS angstrom
0.000 3.387 3.387
3.387 0.000 3.387
3.387 3.387 0.000
```

Output
Total moment   0.8 μB/cell
Symmetry   Fm-3m (225)


Q: Which of them is the least stable? A: B.